[1]
Computed, not measured: a relaxed Y4CuPC2 crystal at the PBE level of DFT.

Calculated values
The space group is No. 187. For the electronic total energy, the calculation gives -0.526 Ry/atom.

Unit cell a=3.717 b=3.717 c=13.424 alpha=90.00 beta=90.00 gamma=120.00
Positions (direct):
C (0.333, 0.667, 0.250)
Y (0.000, 0.000, 0.363)
Cu (0.000, 0.000, 0.000)
Y (0.667, 0.333, 0.161)
Y (0.667, 0.333, 0.839)
P (0.667, 0.333, 0.500)
C (0.333, 0.667, 0.750)
Y (0.000, 0.000, 0.637)

---

[2]
Computed, not measured: a relaxed Zr4CuPC2 crystal at the PBE level of DFT.

Calculated values
The space group is No. 187. For the electronic total energy, the calculation gives -0.621 Ry/atom.

Unit cell a=3.408 b=3.408 c=12.733 alpha=90.00 beta=90.00 gamma=120.00
Positions (direct):
P (0.000, 0.000, 0.500)
Zr (0.667, 0.333, 0.641)
Cu (0.667, 0.333, 0.000)
C (0.333, 0.667, 0.257)
Zr (0.000, 0.000, 0.157)
Zr (0.667, 0.333, 0.359)
C (0.333, 0.667, 0.743)
Zr (0.000, 0.000, 0.843)

---

[3]
Computed, not measured: a relaxed Sc4CuPbC2 crystal at the PBE level of DFT.

Calculated values
The space group is No. 187. For the electronic total energy, the calculation gives -0.503 Ry/atom.

Unit cell a=3.396 b=3.396 c=13.995 alpha=90.00 beta=90.00 gamma=120.00
Positions (direct):
Sc (0.667, 0.333, 0.643)
Sc (0.333, 0.667, 0.815)
C (0.000, 0.000, 0.270)
Sc (0.667, 0.333, 0.357)
Cu (0.333, 0.667, 0.500)
Pb (0.667, 0.333, 0.000)
Sc (0.333, 0.667, 0.185)
C (0.000, 0.000, 0.730)

---

[4]
Computed, not measured: a relaxed Zr4CuPbC2 crystal at the PBE level of DFT.

Calculated values
The space group is No. 187. For the electronic total energy, the calculation gives -0.590 Ry/atom.

Unit cell a=3.369 b=3.369 c=14.235 alpha=90.00 beta=90.00 gamma=120.00
Site moments in Bohr magnetons follow the coordinates.
Positions (direct):
Cu (0.333, 0.667, 0.500)  0.03
Zr (0.667, 0.333, 0.645)  0.07
Zr (0.333, 0.667, 0.177)  0.02
C (0.000, 0.000, 0.264)  0.00
Pb (0.667, 0.333, 0.000)  0.00
Zr (0.333, 0.667, 0.823)  0.02
C (0.000, 0.000, 0.736)  0.00
Zr (0.667, 0.333, 0.355)  0.07

---

[5]
Computed, not measured: a relaxed Cu2CS3 crystal at the PBE level of DFT.

Calculated values
The space group is No. 9. For the electronic total energy, the calculation gives -0.351 Ry/atom.

Unit cell a=5.978 b=5.978 c=6.740 alpha=99.07 beta=99.07 gamma=119.55
Positions (direct):
Cu (0.128, 0.628, 0.650)
Cu (0.963, 0.807, 0.152)
C (0.435, 0.264, 0.546)
Cu (0.628, 0.128, 0.150)
S (0.437, 0.550, 0.556)
S (0.962, 0.135, 0.015)
S (0.712, 0.248, 0.516)
S (0.248, 0.712, 0.016)
S (0.135, 0.962, 0.515)
S (0.550, 0.437, 0.056)
Cu (0.807, 0.963, 0.652)
C (0.264, 0.435, 0.046)

---

[6]
Computed, not measured: a relaxed CuW4C2S crystal at the PBE level of DFT.

Calculated values
The space group is No. 187. For the electronic total energy, the calculation gives -0.701 Ry/atom.

Unit cell a=3.099 b=3.099 c=12.567 alpha=90.00 beta=90.00 gamma=120.00
Positions (direct):
C (0.000, 0.000, 0.247)
W (0.667, 0.333, 0.336)
Cu (0.333, 0.667, 0.500)
S (0.667, 0.333, 0.000)
W (0.333, 0.667, 0.153)
W (0.667, 0.333, 0.664)
C (0.000, 0.000, 0.753)
W (0.333, 0.667, 0.847)

---

[7]
Computed, not measured: a relaxed Zr4CuC2S crystal at the PBE level of DFT.

Calculated values
The space group is No. 187. For the electronic total energy, the calculation gives -0.619 Ry/atom.

Unit cell a=3.379 b=3.379 c=12.900 alpha=90.00 beta=90.00 gamma=120.00
Site moments in Bohr magnetons follow the coordinates.
Positions (direct):
C (0.333, 0.667, 0.260)  0.00
Zr (0.667, 0.333, 0.838)  0.08
Zr (0.000, 0.000, 0.359)  0.03
Zr (0.667, 0.333, 0.162)  0.09
C (0.333, 0.667, 0.740)  0.00
S (0.667, 0.333, 0.500)  0.00
Cu (0.000, 0.000, 0.000)  0.04
Zr (0.000, 0.000, 0.641)  0.03

---

[8]
Computed, not measured: a relaxed Ta4CuSbC2 crystal at the PBE level of DFT.

Calculated values
The space group is No. 187. For the electronic total energy, the calculation gives -0.695 Ry/atom.

Unit cell a=3.243 b=3.243 c=13.081 alpha=90.00 beta=90.00 gamma=120.00
Positions (direct):
C (0.000, 0.000, 0.758)
Ta (0.667, 0.333, 0.845)
Cu (0.333, 0.667, 0.000)
Ta (0.333, 0.667, 0.668)
Ta (0.667, 0.333, 0.155)
Ta (0.333, 0.667, 0.332)
Sb (0.667, 0.333, 0.500)
C (0.000, 0.000, 0.242)